Entry 1:
This record from Alexandria via LeMat-Bulk describes a geometry-optimized ZrZn2B structure. The functional is PBE-GGA.

Structure (CIF):
```
data_ZrZn2B
_cell_length_a 7.0604
_cell_length_b 7.0604
_cell_length_c 4.8947
_cell_angle_alpha 90.00
_cell_angle_beta 90.00
_cell_angle_gamma 90.00
_space_group_name_H-M_alt 'I -4 2 d'
_space_group_IT_number 122
_space_group_name_Hall 'I -4 2bw'
loop_
_atom_site_label
_atom_site_fract_x
_atom_site_fract_y
_atom_site_fract_z
_atom_site_occupancy
Zr1 0.0000 0.0000 0.0000 1
Zn1 0.1734 0.2500 0.6250 1
B1 0.0000 0.0000 0.5000 1
```

=====

Entry 2:
This record from Alexandria via LeMat-Bulk describes a geometry-optimized CdHg2Se2 structure. The functional is PBE-GGA.

Structure (CIF):
```
data_CdHg2Se2
_cell_length_a 8.0831
_cell_length_b 8.0831
_cell_length_c 4.2902
_cell_angle_alpha 90.00
_cell_angle_beta 90.00
_cell_angle_gamma 90.00
_space_group_name_H-M_alt 'P 4/m b m'
_space_group_IT_number 127
_space_group_name_Hall '-P 4 2ab'
loop_
_atom_site_label
_atom_site_fract_x
_atom_site_fract_y
_atom_site_fract_z
_atom_site_occupancy
Cd1 0.0000 0.0000 0.0000 1
Hg1 0.1178 0.3822 0.5000 1
Se1 0.2322 0.7322 0.0000 1
```

Calculated values
- offset from the most stable computed form (meV per atom) = 0
- ΔE_f (raw) (kJ/mol of atoms) = -6.6

=====

Entry 3:
This record from Alexandria via LeMat-Bulk describes a geometry-optimized SbPW structure. The functional is PBE-GGA.

Structure (CIF):
```
data_SbPW
_cell_length_a 6.1462
_cell_length_b 6.5743
_cell_length_c 6.7150
_cell_angle_alpha 90.00
_cell_angle_beta 118.12
_cell_angle_gamma 90.00
_space_group_name_H-M_alt 'P 1 21/c 1'
_space_group_IT_number 14
loop_
_space_group_symop_operation_xyz
'x,y,z'
'-x,-y,-z'
'-x,y+1/2,-z+1/2'
'x,-y+1/2,z+1/2'
loop_
_atom_site_label
_atom_site_fract_x
_atom_site_fract_y
_atom_site_fract_z
_atom_site_occupancy
Sb1 0.1662 0.1278 0.3426 1
P1 0.3442 0.6456 0.2124 1
W1 0.2828 0.5194 0.5253 1
```

Calculated values
- offset from the most stable computed form (meV per atom) = 42
- ΔE_f (raw) (kJ/mol of atoms) = 14.2

=====

no.,calculated total energy (eV per cell),density of states at the Fermi level (states/eV per atom)
1,-68.74,0.650
2,-17.66,0.241
3,-88.17,0.615